[1]
DFT (PBE) results for an optimized crystal structure of RbMnS2.

Total DFT energy (no corrections): -0.1464 Ha/atom
DOS(E_F): 0.458 states/eV/atom
Calculated volume: 18.827 Å³/atom

abc: 6.7034 6.7034 6.7034
angles: 90.00 90.00 90.00
Space group Fm-3m (No. 225)
Asymmetric unit:
Rb (0.0000, 0.0000, 0.0000) x4
Mn (0.0000, 0.0000, 0.5000) x4
S (0.2500, 0.2500, 0.2500) x8

***

[2]
DFT (PBE) results for an optimized crystal structure of CaZn12Ag7.

DOS(E_F): 0.341 states/eV/atom
Calculated volume: 21.391 Å³/atom
Formation energy from the elements: 156.2 meV per atom

abc: 9.4936 9.4936 9.4936
angles: 90.00 90.00 90.00
Space group Im-3 (No. 204)
Asymmetric unit:
Ca (0.0000, 0.0000, 0.0000) x2
Zn (0.0000, 0.2497, 0.3564) x24
Ag (0.0000, 0.0000, 0.5000) x6
Ag (0.2500, 0.2500, 0.2500) x8

***

[3]
DFT (PBE) results for an optimized crystal structure of PrSm8Y2.

DOS(E_F): 1.648 states/eV/atom
Distance to the lowest polymorph of the same formula: 50 meV per atom
Calculated volume: 34.423 Å³/atom
Formation energy from the elements: 161.1 meV per atom

abc: 16.8285 6.7754 6.7361
angles: 90.00 99.59 90.00
Space group C2/m (No. 12)
Asymmetric unit:
Pr (0.0000, 0.0000, 0.0000) x2
Sm (0.0894, 0.2632, 0.4081) x8
Sm (0.0903, 0.5000, 0.9076) x4
Sm (0.2448, 0.0000, 0.3149) x4
Y (0.2039, 0.0000, 0.8045) x4